Th4TcNi3 | PBE-GGA | optimized geometry

Lattice parameters (Å, degrees): 3.775 4.287 10.953 90.00 90.00 90.00
Atoms (fractional coordinates):
Ni  0.000  0.500  0.584
Ni  0.000  0.000  0.423
Ni  0.500  0.000  0.903
Tc  0.500  0.500  0.090
Th  0.500  0.500  0.362
Th  0.000  0.500  0.869
Th  0.000  0.000  0.136
Th  0.500  0.000  0.633

D(E_F), states/eV/cell: 7.18
Formation enthalpy at 0 K, eV per formula unit: -2.86



TmThTcNi | PBE-GGA | optimized geometry

Lattice parameters (Å, degrees): 4.877 4.877 4.877 60.00 60.00 60.00
Atoms (fractional coordinates):
Ni  0.250  0.250  0.250
Tm  0.500  0.500  0.500
Tc  0.750  0.750  0.750
Th  0.000  0.000  0.000

D(E_F), states/eV/cell: 3.14
Formation enthalpy at 0 K, eV per formula unit: -0.97



ThUTcNi | PBE-GGA | optimized geometry

Lattice parameters (Å, degrees): 4.354 4.353 5.781 112.12 90.00 120.00
Site moments in Bohr magnetons follow the coordinates.
Atoms (fractional coordinates):
Th  0.616  0.232  0.491  0.02
U  0.114  0.228  0.984  1.08
Tc  0.831  0.662  0.135  -0.13
Ni  0.405  0.810  0.857  -0.07

D(E_F), states/eV/cell: 6.34
Formation enthalpy at 0 K, eV per formula unit: -0.61